# Ni3PdF (PBE+U, relaxed)
data_Ni3PdF
_chemical_formula_sum 'Ni3 Pd1 F1'
_cell_length_a 4.046
_cell_length_b 4.046
_cell_length_c 4.046
_cell_angle_alpha 90.00
_cell_angle_beta 90.00
_cell_angle_gamma 90.00
_symmetry_space_group_name_H-M 'P 1'
_symmetry_Int_Tables_number 1
loop_
_symmetry_equiv_pos_as_xyz
'x,y,z'
loop_
_atom_site_label
_atom_site_fract_x
_atom_site_fract_y
_atom_site_fract_z
Ni1 0.000 0.000 0.500
Ni2 0.000 0.500 0.000
Ni3 0.500 0.000 0.000
Pd1 0.500 0.500 0.500
F1 0.000 0.000 0.000
# * E_tot: -14.0 eV/cell
# * relative energy among the computed polymorphs: 0 meV per atom
# * space group: Pm-3m (221)